A relaxed MoW2IF crystal, computed with GGA+U.

Calculated values
Uncorrected energy: -15.32 eV per cell
Magnetic moment: 1.90 μB per atom

abc: 5.454 5.454 4.446
angles: 90.00 90.00 90.00
Space group P4/mmm (No. 123)
Unique sites:
Mo  0.000  0.000  0.000 x1
W  0.000  0.500  0.500 x2
I  0.500  0.500  0.500 x1
F  0.500  0.500  0.000 x1